# TiGa2Ag

A relaxed TiGa2Ag crystal (GGA-PBE, Alexandria via LeMat-Bulk).

Values from the calculation:
- E_tot: -3.6786 eV/atom
- Energy of formation from the pure elements: 0.521 eV/atom
- Distance to the lowest polymorph of the same formula: 788.4 meV per atom
- Crystal system: trigonal
- SG: R-3m

abc: 4.507 4.507 6.443
angles: 69.53 69.53 60.00
Sites, in units of the cell vectors:
Ga  0.143  0.143  0.570
Ga  0.857  0.857  0.430
Ag  0.000  0.000  0.000
Ti  0.500  0.500  0.500


# PrErAg

A relaxed PrErAg crystal (GGA-PBE, Alexandria via LeMat-Bulk).

Values from the calculation:
- E_tot: -4.0918 eV/atom
- Energy of formation from the pure elements: -0.027 eV/atom
- Distance to the lowest polymorph of the same formula: 139.5 meV per atom
- Crystal system: trigonal
- SG: P3m1

abc: 3.840 5.072 5.072
angles: 120.00 90.00 90.00
Sites, in units of the cell vectors:
Pr  0.640  0.667  0.333
Ag  0.247  0.333  0.667
Er  0.113  0.000  0.000


# Pr2AsP3Pd4

A relaxed Pr2AsP3Pd4 crystal (GGA-PBE, Alexandria via LeMat-Bulk).

Values from the calculation:
- E_tot: -6.0340 eV/atom
- Energy of formation from the pure elements: -0.913 eV/atom
- Crystal system: tetragonal
- SG: P-4m2

abc: 4.350 4.350 9.699
angles: 90.00 90.00 90.00
Sites, in units of the cell vectors:
Pr  0.500  0.000  0.250
Pr  0.000  0.500  0.750
As  0.500  0.500  0.500
P  0.000  0.000  0.500
P  0.500  0.000  0.871
P  0.000  0.500  0.129
Pd  0.500  0.500  0.000
Pd  0.000  0.000  0.000
Pd  0.500  0.000  0.624
Pd  0.000  0.500  0.376


# Li6HN

A relaxed Li6HN crystal (GGA-PBE, Alexandria via LeMat-Bulk).

Values from the calculation:
- E_tot: -2.9920 eV/atom
- Crystal system: tetragonal
- SG: P4_2/m

abc: 5.023 5.023 7.674
angles: 90.00 90.00 90.00
Sites, in units of the cell vectors:
Li  0.211  0.273  0.327
Li  0.789  0.727  0.327
Li  0.727  0.211  0.827
Li  0.273  0.789  0.827
Li  0.789  0.727  0.673
Li  0.211  0.273  0.673
Li  0.273  0.789  0.173
Li  0.727  0.211  0.173
Li  0.332  0.705  0.500
Li  0.668  0.295  0.500
Li  0.295  0.332  0.000
Li  0.705  0.668  0.000
H  0.000  0.000  0.500
H  0.000  0.000  0.000
N  0.500  0.500  0.750
N  0.500  0.500  0.250


# CaLu3Rh

A relaxed CaLu3Rh crystal (GGA-PBE, Alexandria via LeMat-Bulk).

Values from the calculation:
- E_tot: -4.9099 eV/atom
- Energy of formation from the pure elements: -0.327 eV/atom
- Crystal system: cubic
- SG: Pm-3m

abc: 5.345 5.345 5.345
angles: 90.00 90.00 90.00
Sites, in units of the cell vectors:
Ca  0.500  0.500  0.500
Lu  0.000  0.500  0.000
Lu  0.000  0.000  0.500
Lu  0.500  0.000  0.000
Rh  0.000  0.000  0.000


# SrZrAgCl2

A relaxed SrZrAgCl2 crystal (GGA-PBE, Alexandria via LeMat-Bulk).

Values from the calculation:
- E_tot: -3.8660 eV/atom
- Raw formation energy: -0.511 eV/atom
- Crystal system: tetragonal
- SG: P4/mmm

abc: 4.925 7.369 4.925
angles: 90.00 90.00 90.00
Sites, in units of the cell vectors:
Sr  0.000  0.500  0.000
Zr  0.000  0.000  0.000
Ag  0.500  0.500  0.500
Cl  0.000  0.000  0.500
Cl  0.500  0.000  0.000


# Ce4SiCl3

A relaxed Ce4SiCl3 crystal (GGA-PBE, Alexandria via LeMat-Bulk).

Values from the calculation:
- E_tot: -5.6007 eV/atom
- Raw formation energy: -1.263 eV/atom
- Crystal system: monoclinic
- SG: P2/c

abc: 7.202 6.940 8.115
angles: 90.00 90.00 109.29
Sites, in units of the cell vectors:
Si  0.750  0.000  0.872
Si  0.250  0.000  0.128
Ce  0.999  0.252  0.624
Ce  0.500  0.248  0.877
Ce  0.499  0.252  0.376
Ce  0.000  0.248  0.123
Ce  0.000  0.752  0.877
Ce  0.501  0.748  0.624
Ce  0.500  0.752  0.123
Ce  0.001  0.748  0.376
Cl  0.750  0.000  0.374
Cl  0.250  0.000  0.626
Cl  0.750  0.500  0.629
Cl  0.750  0.500  0.125
Cl  0.250  0.500  0.371
Cl  0.250  0.500  0.875


# SmGa4Ni3

A relaxed SmGa4Ni3 crystal (GGA-PBE, Alexandria via LeMat-Bulk).

Values from the calculation:
- E_tot: -4.5430 eV/atom
- Energy of formation from the pure elements: -0.272 eV/atom
- Crystal system: orthorhombic
- SG: Cmmm

abc: 4.714 4.714 6.758
angles: 90.00 90.00 114.94
Sites, in units of the cell vectors:
Ni  0.000  0.000  0.000
Ni  0.500  0.500  0.190
Ni  0.500  0.500  0.810
Ga  0.000  0.500  0.195
Ga  0.000  0.500  0.805
Ga  0.500  0.000  0.805
Ga  0.500  0.000  0.195
Sm  0.000  0.000  0.500


# NaCdSbRh

A relaxed NaCdSbRh crystal (GGA-PBE, Alexandria via LeMat-Bulk).

Values from the calculation:
- E_tot: -3.5872 eV/atom
- Raw formation energy: -0.160 eV/atom
- Crystal system: cubic
- SG: F-43m

abc: 4.774 4.774 4.774
angles: 60.00 60.00 60.00
Sites, in units of the cell vectors:
Na  0.500  0.500  0.500
Sb  0.250  0.250  0.250
Rh  0.000  0.000  0.000
Cd  0.750  0.750  0.750


# ScIr2

A relaxed ScIr2 crystal (GGA-PBE, Alexandria via LeMat-Bulk).

Values from the calculation:
- E_tot: -8.1909 eV/atom
- Energy of formation from the pure elements: -0.173 eV/atom
- Crystal system: tetragonal
- SG: P4/mmm

abc: 3.689 3.689 4.221
angles: 90.00 90.00 90.00
Sites, in units of the cell vectors:
Ir  0.000  0.500  0.500
Ir  0.500  0.000  0.500
Sc  0.000  0.000  0.000


# Ac4SbAs5

A relaxed Ac4SbAs5 crystal (GGA-PBE, Alexandria via LeMat-Bulk).

Values from the calculation:
- E_tot: -5.4891 eV/atom
- Raw formation energy: -1.109 eV/atom
- Crystal system: tetragonal
- SG: I4/mmm

abc: 4.495 4.495 16.215
angles: 97.97 97.97 90.00
Sites, in units of the cell vectors:
Ac  0.403  0.403  0.805
Ac  0.801  0.801  0.602
Ac  0.199  0.199  0.398
Ac  0.597  0.597  0.195
Sb  0.000  0.000  0.000
As  0.098  0.098  0.195
As  0.500  0.500  0.000
As  0.902  0.902  0.805
As  0.300  0.300  0.601
As  0.700  0.700  0.399


# LaCu2Au2

A relaxed LaCu2Au2 crystal (GGA-PBE, Alexandria via LeMat-Bulk).

Values from the calculation:
- E_tot: -4.0886 eV/atom
- Energy of formation from the pure elements: -0.154 eV/atom
- Distance to the lowest polymorph of the same formula: 225.1 meV per atom
- Crystal system: tetragonal
- SG: P4/mbm

abc: 7.683 7.683 3.270
angles: 90.00 90.00 90.00
Sites, in units of the cell vectors:
Au  0.371  0.871  0.000
Au  0.871  0.629  0.000
Au  0.629  0.129  0.000
Au  0.129  0.371  0.000
Cu  0.165  0.665  0.500
Cu  0.665  0.835  0.500
Cu  0.835  0.335  0.500
Cu  0.335  0.165  0.500
La  0.000  0.000  0.000
La  0.500  0.500  0.000


- What is the E_tot in the eleventh record?
  -5.4891 eV/atom


- The highest E_tot belongs to which entry?
  Li6HN


- Which value of E_tot does entry 12 give?
  -4.0886 eV/atom


Copy entry 2 word for word.
# PrErAg

A relaxed PrErAg crystal (GGA-PBE, Alexandria via LeMat-Bulk).

Values from the calculation:
- E_tot: -4.0918 eV/atom
- Energy of formation from the pure elements: -0.027 eV/atom
- Distance to the lowest polymorph of the same formula: 139.5 meV per atom
- Crystal system: trigonal
- SG: P3m1

abc: 3.840 5.072 5.072
angles: 120.00 90.00 90.00
Sites, in units of the cell vectors:
Pr  0.640  0.667  0.333
Ag  0.247  0.333  0.667
Er  0.113  0.000  0.000